Entry 1:
Computed, not measured: Sr2ZrCl after structural relaxation at the GGA-PBEsol level of DFT.

Unit cell a=3.4026 b=5.8757 c=6.7955 alpha=115.62 beta=104.50 gamma=90.00
Last column: nearest neighbours and their distance in Å.
Element x y z (fractional)
Zr: 0.5487 0.5487 0.0973  2 Cl 2.76
Sr: 0.7634 0.2634 0.5268  4 Sr 3.40-3.71, 4 Cl 3.41, 2 Zr 3.76
Sr: 0.9552 0.9552 0.9103  2 Cl 3.12, 2 Sr 3.40
Cl: 0.2327 0.7327 0.4655  2 Zr 2.76

The space-group type is No. 44. The calculation puts the formation energy (no corrections) at -252 meV/atom.



Entry 2:
Computed, not measured: TaCl4 after structural relaxation at the GGA-PBEsol level of DFT.

Unit cell a=3.3151 b=3.3151 c=9.8233 alpha=99.71 beta=99.71 gamma=90.00
Last column: nearest neighbours and their distance in Å.
Element x y z (fractional)
Cl: 0.5754 0.5754 0.1507  4 Ta 2.75, 1 Cl 2.88
Cl: 0.4246 0.4246 0.8493  4 Ta 2.75, 1 Cl 2.88
Cl: 0.7500 0.2500 0.5000  4 Cl 2.34
Cl: 0.2500 0.7500 0.5000  4 Cl 2.34
Ta: 0.0000 0.0000 0.0000  8 Cl 2.75

The space-group type is No. 139. The calculation puts the formation energy (no corrections) at 96 meV/atom.



Entry 3:
Computed, not measured: TaCl4 after structural relaxation at the GGA-PBEsol level of DFT.

Unit cell a=6.7087 b=6.9610 c=7.1744 alpha=72.66 beta=62.12 gamma=61.19
Last column: nearest neighbours and their distance in Å.
Element x y z (fractional)
Cl: 0.1798 0.7948 0.8456  2 Ta 2.51
Cl: 0.2767 0.2493 0.7063  1 Ta 2.30
Cl: 0.7233 0.7507 0.2937  1 Ta 2.30
Cl: 0.8202 0.2052 0.1544  2 Ta 2.51
Cl: 0.7065 0.7643 0.8226  2 Ta 2.41
Cl: 0.2935 0.2357 0.1774  2 Ta 2.41
Cl: 0.7677 0.2493 0.7063  1 Ta 2.30
Cl: 0.2323 0.7507 0.2937  1 Ta 2.30
Ta: 0.2797 0.0000 0.0000  6 Cl 2.30-2.51
Ta: 0.7203 0.0000 0.0000  6 Cl 2.30-2.51

The space-group type is No. 12. The calculation puts the formation energy (no corrections) at -1299 meV/atom.



Entry 4:
Computed, not measured: Ta2Cl after structural relaxation at the GGA-PBEsol level of DFT.

Unit cell a=2.9488 b=5.4101 c=7.2041 alpha=113.12 beta=101.81 gamma=90.00
Last column: nearest neighbours and their distance in Å.
Element x y z (fractional)
Ta: 0.4260 0.6240 0.8521  3 Cl 2.60-2.82, 2 Ta 2.72
Ta: 0.0891 0.5172 0.1782  3 Cl 2.46-2.51
Ta: 0.3011 0.9628 0.6021  4 Cl 2.56-2.63
Ta: 0.7489 0.4208 0.4978  1 Cl 2.49, 2 Ta 2.72
Cl: 0.6417 0.9271 0.2835  5 Ta 2.49-2.63
Cl: 0.9598 0.0480 0.9196  5 Ta 2.46-2.60

The space-group type is No. 8. The calculation puts the formation energy (no corrections) at 199 meV/atom.



Entry 5:
Computed, not measured: Ta2Cl after structural relaxation at the GGA-PBEsol level of DFT.

Unit cell a=3.5598 b=4.8577 c=5.8807 alpha=90.00 beta=90.00 gamma=90.00
Last column: nearest neighbours and their distance in Å.
Element x y z (fractional)
Ta: 0.0000 0.7752 0.3524  3 Cl 2.34-2.39
Ta: 0.0000 0.2248 0.6476  3 Cl 2.34-2.39
Ta: 0.5000 0.2752 0.1476  3 Cl 2.34-2.39
Ta: 0.5000 0.7248 0.8524  3 Cl 2.34-2.39
Cl: 0.0000 0.0000 0.0000  6 Ta 2.34-2.39
Cl: 0.5000 0.5000 0.5000  6 Ta 2.34-2.39

The space-group type is No. 58. The calculation puts the formation energy (no corrections) at 718 meV/atom.



Entry 6:
Computed, not measured: Ta2TcCl after structural relaxation at the GGA-PBEsol level of DFT.

Unit cell a=3.0062 b=3.0062 c=7.2198 alpha=90.00 beta=90.00 gamma=90.00
Last column: nearest neighbours and their distance in Å.
Element x y z (fractional)
Cl: 0.5000 0.5000 0.5000  8 Ta 2.90, 4 Cl 3.01
Tc: 0.5000 0.5000 0.0000  8 Ta 2.68
Ta: 0.0000 0.0000 0.7737  4 Tc 2.68, 4 Cl 2.90
Ta: 0.0000 0.0000 0.2263  4 Tc 2.68, 4 Cl 2.90

The space-group type is No. 123. The calculation puts the formation energy (no corrections) at -1 meV/atom.



Entry 7:
Computed, not measured: Ta2TcCl after structural relaxation at the GGA-PBEsol level of DFT.

Unit cell a=2.9537 b=4.4875 c=5.3991 alpha=114.56 beta=105.88 gamma=90.00
Last column: nearest neighbours and their distance in Å.
Element x y z (fractional)
Ta: 0.7601 0.2601 0.5201  4 Cl 2.69, 2 Tc 2.86, 2 Ta 2.95
Ta: 0.9763 0.9763 0.9527  2 Cl 2.65, 4 Tc 2.72, 2 Ta 2.95
Cl: 0.2417 0.7417 0.4834  2 Tc 2.53, 6 Ta 2.65-2.69
Tc: 0.5219 0.5219 0.0438  2 Cl 2.53, 4 Ta 2.72

The space-group type is No. 44. The calculation puts the formation energy (no corrections) at 321 meV/atom.



Entry 8:
Computed, not measured: TaTc2Cl after structural relaxation at the GGA-PBEsol level of DFT.

Unit cell a=2.8591 b=2.8591 c=8.4094 alpha=90.00 beta=90.00 gamma=114.50
Last column: nearest neighbours and their distance in Å.
Element x y z (fractional)
Tc: 0.0000 0.0000 0.7542  2 Ta 2.58, 2 Cl 2.64, 4 Tc 2.86
Tc: 0.0000 0.0000 0.2458  2 Ta 2.58, 2 Cl 2.64, 4 Tc 2.86
Ta: 0.5000 0.5000 0.0000  4 Tc 2.58, 4 Ta 2.86
Cl: 0.5000 0.5000 0.5000  4 Tc 2.64, 4 Cl 2.86

The space-group type is No. 65. The calculation puts the formation energy (no corrections) at 272 meV/atom.



Entry 9:
Computed, not measured: TaTc2Cl after structural relaxation at the GGA-PBEsol level of DFT.

Unit cell a=2.8969 b=2.8969 c=7.0079 alpha=90.00 beta=90.00 gamma=90.00
Last column: nearest neighbours and their distance in Å.
Element x y z (fractional)
Cl: 0.0000 0.0000 0.5043  4 Ta 2.63, 4 Tc 2.77, 4 Cl 2.90
Ta: 0.5000 0.5000 0.7400  4 Cl 2.63, 4 Tc 2.82, 4 Ta 2.90
Tc: 0.0000 0.0000 0.0170  4 Tc 2.57, 4 Ta 2.82
Tc: 0.5000 0.5000 0.2387  4 Tc 2.57, 4 Cl 2.77

The space-group type is No. 99. The calculation puts the formation energy (no corrections) at 44 meV/atom.



Entry 10:
Computed, not measured: TaTc2Cl after structural relaxation at the GGA-PBEsol level of DFT.

Unit cell a=2.9944 b=2.9944 c=8.2744 alpha=79.58 beta=79.58 gamma=60.00
Last column: nearest neighbours and their distance in Å.
Element x y z (fractional)
Tc: 0.2510 0.2510 0.2471  3 Ta 2.64, 3 Cl 2.68
Tc: 0.7490 0.7490 0.7529  3 Ta 2.64, 3 Cl 2.68
Ta: 0.0000 0.0000 0.0000  6 Tc 2.64
Cl: 0.5000 0.5000 0.5000  6 Tc 2.68, 6 Cl 2.99

The space-group type is No. 166. The calculation puts the formation energy (no corrections) at 240 meV/atom.



Entry 11:
Computed, not measured: Ta2TcCl after structural relaxation at the GGA-PBEsol level of DFT.

Unit cell a=2.9546 b=4.7669 c=4.7669 alpha=98.75 beta=98.86 gamma=98.86
Last column: nearest neighbours and their distance in Å.
Element x y z (fractional)
Ta: 0.0000 0.5000 0.0000  2 Tc 2.60, 2 Cl 2.60
Ta: 0.0000 0.0000 0.5000  2 Cl 2.60, 2 Tc 2.60
Cl: 0.5000 0.0000 0.0000  4 Ta 2.60
Tc: 0.5000 0.5000 0.5000  4 Ta 2.60

The space-group type is No. 12. The calculation puts the formation energy (no corrections) at 368 meV/atom.



Entry 12:
Computed, not measured: Ta2TcCl after structural relaxation at the GGA-PBEsol level of DFT.

Unit cell a=3.0071 b=4.2661 c=5.1157 alpha=90.00 beta=97.77 gamma=90.00
Last column: nearest neighbours and their distance in Å.
Element x y z (fractional)
Ta: 0.5287 0.5000 0.2641  2 Cl 2.59-2.65, 4 Tc 2.78-2.87, 2 Ta 2.84
Ta: 0.0284 0.0000 0.0027  1 Tc 2.41
Tc: 0.1051 0.0000 0.4777  1 Ta 2.41, 2 Cl 2.61
Cl: 0.3378 0.5000 0.7556  4 Ta 2.59-2.71, 2 Tc 2.61

The space-group type is No. 6. The calculation puts the formation energy (no corrections) at 236 meV/atom.



Entry 13:
Computed, not measured: TaTc4Cl after structural relaxation at the GGA-PBEsol level of DFT.

Unit cell a=5.1086 b=5.1086 c=5.1086 alpha=60.00 beta=60.00 gamma=60.00
Last column: nearest neighbours and their distance in Å.
Element x y z (fractional)
Tc: 0.6247 0.1259 0.6247  6 Tc 2.55-2.56
Tc: 0.6247 0.6247 0.6247  6 Tc 2.55-2.56
Tc: 0.6247 0.6247 0.1259  6 Tc 2.55-2.56
Tc: 0.1259 0.6247 0.6247  6 Tc 2.55-2.56
Cl: 0.2500 0.2500 0.2500  12 Tc 2.99, 4 Ta 3.13
Ta: 0.0000 0.0000 0.0000  12 Tc 3.00, 4 Cl 3.13

The space-group type is No. 216. The calculation puts the formation energy (no corrections) at 720 meV/atom.



Entry 14:
Computed, not measured: TaTc2Cl after structural relaxation at the GGA-PBEsol level of DFT.

Unit cell a=2.9826 b=4.8420 c=4.8420 alpha=119.07 beta=90.00 gamma=90.00
Last column: nearest neighbours and their distance in Å.
Element x y z (fractional)
Tc: 0.0000 0.5000 0.0000  2 Tc 2.46
Tc: 0.0000 0.0000 0.5000  2 Tc 2.46
Cl: 0.5000 0.0000 0.0000  2 Ta 2.46
Ta: 0.5000 0.5000 0.5000  2 Cl 2.46

The space-group type is No. 65. The calculation puts the formation energy (no corrections) at 641 meV/atom.



Entry 15:
Computed, not measured: TaTe2Cl after structural relaxation at the GGA-PBEsol level of DFT.

Unit cell a=3.4164 b=4.9717 c=4.9849 alpha=90.00 beta=90.00 gamma=90.00
Last column: nearest neighbours and their distance in Å.
Element x y z (fractional)
Ta: 0.0000 0.5000 0.5000  4 Cl 3.02, 4 Te 3.02
Te: 0.5000 0.5000 0.0000  4 Te 3.02, 4 Ta 3.02
Te: 0.0000 0.0000 0.0000  4 Te 3.02, 4 Cl 3.02
Cl: 0.5000 0.0000 0.5000  4 Ta 3.02, 4 Te 3.02

The space-group type is No. 47. The calculation puts the formation energy (no corrections) at 516 meV/atom.



Entry 16:
Computed, not measured: TaTeCl2 after structural relaxation at the GGA-PBEsol level of DFT.

Unit cell a=3.1645 b=3.1645 c=8.1139 alpha=90.00 beta=90.00 gamma=90.00
Last column: nearest neighbours and their distance in Å.
Element x y z (fractional)
Cl: 0.0000 0.0000 0.9952  8 Cl 3.16-3.35, 4 Te 3.19
Cl: 0.5000 0.5000 0.3025  4 Ta 2.69
Ta: 0.0000 0.0000 0.4873  4 Cl 2.69, 4 Te 2.90
Te: 0.5000 0.5000 0.7150  4 Ta 2.90, 4 Te 3.16, 4 Cl 3.19

The space-group type is No. 99. The calculation puts the formation energy (no corrections) at -251 meV/atom.



Entry 17:
Computed, not measured: Ta2TeCl after structural relaxation at the GGA-PBEsol level of DFT.

Unit cell a=4.7743 b=4.7743 c=4.7743 alpha=60.00 beta=60.00 gamma=60.00
Last column: nearest neighbours and their distance in Å.
Element x y z (fractional)
Te: 0.7500 0.7500 0.7500  4 Cl 2.92, 4 Ta 2.92
Cl: 0.5000 0.5000 0.5000  4 Ta 2.92, 4 Te 2.92
Ta: 0.2500 0.2500 0.2500  4 Ta 2.92, 4 Cl 2.92
Ta: 0.0000 0.0000 0.0000  4 Ta 2.92, 4 Te 2.92

The space-group type is No. 216. The calculation puts the formation energy (no corrections) at 628 meV/atom.



Entry 18:
Computed, not measured: TaTeCl2 after structural relaxation at the GGA-PBEsol level of DFT.

Unit cell a=3.0118 b=3.0118 c=9.4032 alpha=90.00 beta=90.00 gamma=90.00
Last column: nearest neighbours and their distance in Å.
Element x y z (fractional)
Ta: 0.5000 0.5000 0.0000  8 Cl 2.61
Cl: 0.0000 0.0000 0.8398  4 Ta 2.61
Cl: 0.0000 0.0000 0.1602  4 Ta 2.61
Te: 0.5000 0.5000 0.5000  4 Te 3.01

The space-group type is No. 123. The calculation puts the formation energy (no corrections) at -383 meV/atom.



Entry 19:
Computed, not measured: Ta2TeCl after structural relaxation at the GGA-PBEsol level of DFT.

Unit cell a=3.3358 b=4.7369 c=5.2661 alpha=103.55 beta=90.00 gamma=110.62
Last column: nearest neighbours and their distance in Å.
Element x y z (fractional)
Te: 0.5047 0.0094 0.5253  5 Ta 2.80-2.88
Cl: 0.7312 0.4624 0.1187  5 Ta 2.47-2.59
Ta: 0.2609 0.5219 0.7766  2 Cl 2.52, 1 Te 2.80
Ta: 0.0031 0.0062 0.0793  3 Cl 2.47-2.59

The space-group type is No. 8. The calculation puts the formation energy (no corrections) at 104 meV/atom.



Entry 20:
Computed, not measured: TaTe2Cl after structural relaxation at the GGA-PBEsol level of DFT.

Unit cell a=3.5504 b=5.2184 c=5.2184 alpha=115.49 beta=90.00 gamma=90.00
Last column: nearest neighbours and their distance in Å.
Element x y z (fractional)
Te: 0.0000 0.5000 0.0000  2 Te 2.78
Te: 0.0000 0.0000 0.5000  2 Te 2.78
Cl: 0.5000 0.0000 0.0000  2 Ta 2.78
Ta: 0.5000 0.5000 0.5000  2 Cl 2.78

The space-group type is No. 65. The calculation puts the formation energy (no corrections) at 349 meV/atom.